Entry 1:
## PmSe (PBE)

Data for crystalline PmSe at its relaxed geometry.

Calculated values
excess energy over the best structure of this formula in the dataset	214	meV per atom
energy relative to the elements, uncorrected	-1.62	eV/atom
space-group type	Pm-3m, No. 221

Cell and atoms, written as POSCAR:
```
PmSe
1.0
3.633 0.000 0.000
0.000 3.633 0.000
0.000 0.000 3.633
Pm Se
1 1
Cartesian
0.000 0.000 0.000
1.817 1.817 1.817
```



Entry 2:
## PmSe (PBE)

Data for crystalline PmSe at its relaxed geometry.

Calculated values
excess energy over the best structure of this formula in the dataset	230	meV per atom
energy relative to the elements, uncorrected	-1.60	eV/atom
space-group type	P6_3/mmc, No. 194

Cell and atoms, written as POSCAR:
```
PmSe
1.0
5.014 0.000 0.000
-2.507 4.342 0.000
0.000 0.000 5.872
Pm Se
2 2
Cartesian
0.000 2.895 1.468
2.507 1.447 4.404
0.000 2.895 4.404
2.507 1.447 1.468
```



Entry 3:
## Pm3Se (PBE)

Data for crystalline Pm3Se at its relaxed geometry.

Calculated values
energy relative to the elements, uncorrected	-0.73	eV/atom
space-group type	Imm2, No. 44

Cell and atoms, written as POSCAR:
```
Pm3Se
1.0
-1.894 4.834 3.287
1.894 -4.834 3.287
1.894 4.834 -3.287
Pm Se
3 1
Cartesian
0.000 0.000 0.000
1.894 2.946 0.482
0.000 1.888 3.769
1.894 0.000 2.236
```



Entry 4:
## Pm4Se5 (PBE)

Data for crystalline Pm4Se5 at its relaxed geometry.

Calculated values
energy relative to the elements, uncorrected	-1.23	eV/atom
space-group type	I4/mmm, No. 139

Cell and atoms, written as POSCAR:
```
Pm4Se5
1.0
-6.133 6.133 1.870
6.133 -6.133 1.870
6.133 6.133 -1.870
Pm Se
4 5
Cartesian
1.808 1.808 0.000
4.325 -4.325 1.870
-4.325 4.325 1.870
4.325 4.325 1.870
6.133 2.771 0.000
2.771 6.133 0.000
0.000 0.000 1.870
3.362 0.000 1.870
0.000 3.362 1.870
```



Entry 5:
## Pm2Se3 (PBE)

Data for crystalline Pm2Se3 at its relaxed geometry.

Calculated values
energy relative to the elements, uncorrected	-1.89	eV/atom
space-group type	I-42d, No. 122

Cell and atoms, written as POSCAR:
```
Pm2Se3
1.0
-4.443 4.443 13.322
4.443 -4.443 13.322
4.443 4.443 -13.322
Pm Se
16 24
Cartesian
5.633 2.293 -5.605
0.000 0.000 4.433
2.293 1.190 1.056
3.253 -2.150 12.266
2.221 3.385 -3.330
5.501 2.221 3.330
2.221 1.058 9.991
-1.190 2.150 7.717
2.293 3.253 5.605
0.000 4.443 2.228
1.190 6.593 -1.056
0.000 0.000 22.210
2.150 1.190 18.927
-1.058 2.221 16.652
2.150 3.253 14.378
0.000 4.443 11.094
1.557 0.635 -1.781
6.042 -0.650 3.890
3.792 -1.599 9.432
2.904 3.731 -6.233
5.155 1.539 0.428
5.093 2.843 -2.771
2.843 0.650 3.890
3.807 -2.886 15.103
1.539 0.712 7.089
1.539 3.731 -0.428
-0.635 2.886 4.880
2.843 3.792 2.771
5.093 1.599 9.432
5.155 2.904 6.233
2.904 0.712 12.894
-0.650 1.599 10.551
1.599 0.650 16.093
1.557 3.807 8.442
-0.712 2.904 13.750
0.635 6.000 4.880
2.886 3.807 11.541
-1.557 5.078 8.442
0.635 7.328 1.781
-0.712 1.539 19.554
```



Entry 6:
## Pm3Se2 (PBE)

Data for crystalline Pm3Se2 at its relaxed geometry.

Calculated values
energy relative to the elements, uncorrected	-1.36	eV/atom
space-group type	R-3c, No. 167

Cell and atoms, written as POSCAR:
```
Pm3Se2
1.0
3.584 2.069 6.742
-3.584 2.069 6.742
0.000 -4.138 6.742
Pm Se
6 4
Cartesian
-2.398 -0.015 8.427
-1.186 -2.084 11.798
1.211 -2.069 8.427
-1.211 2.069 11.798
1.186 2.084 8.427
2.398 0.015 11.798
0.000 0.000 3.296
0.000 0.000 6.817
0.000 0.000 13.408
0.000 0.000 16.930
```



- Among the records above, which one has the highest energy relative to the elements, uncorrected?
  Pm3Se



- The highest energy relative to the elements, uncorrected belongs to which entry?
  Pm3Se



Please write out number 4 again, unchanged.
## Pm4Se5 (PBE)

Data for crystalline Pm4Se5 at its relaxed geometry.

Calculated values
energy relative to the elements, uncorrected	-1.23	eV/atom
space-group type	I4/mmm, No. 139

Cell and atoms, written as POSCAR:
```
Pm4Se5
1.0
-6.133 6.133 1.870
6.133 -6.133 1.870
6.133 6.133 -1.870
Pm Se
4 5
Cartesian
1.808 1.808 0.000
4.325 -4.325 1.870
-4.325 4.325 1.870
4.325 4.325 1.870
6.133 2.771 0.000
2.771 6.133 0.000
0.000 0.000 1.870
3.362 0.000 1.870
0.000 3.362 1.870
```



- Among the records above, which one has the highest energy relative to the elements, uncorrected?
  Pm3Se